(1)
This record from Alexandria describes crystalline Dy8BiRu2 at its relaxed geometry. The functional is PBE.

```
data_Dy8BiRu2
_symmetry_space_group_name_H-M 'P 1'
_symmetry_Int_Tables_number 1
_cell_length_a 5.588
_cell_length_b 7.859
_cell_length_c 7.859
_cell_angle_alpha 113.02
_cell_angle_beta 97.36
_cell_angle_gamma 97.36
loop_
_symmetry_equiv_pos_as_xyz
'x,y,z'
loop_
_atom_site_label
_atom_site_type_symbol
_atom_site_fract_x
_atom_site_fract_y
_atom_site_fract_z
Dy1 Dy 0.293 0.607 0.607
Dy2 Dy 0.916 0.931 0.666
Dy3 Dy 0.916 0.666 0.931
Dy4 Dy 0.500 0.249 0.751
Dy5 Dy 0.084 0.334 0.069
Dy6 Dy 0.500 0.751 0.249
Dy7 Dy 0.707 0.393 0.393
Dy8 Dy 0.084 0.069 0.334
Ru1 Ru 0.000 0.310 0.690
Ru2 Ru 0.000 0.690 0.310
Bi1 Bi 0.500 0.000 0.000
```

Calculated values
energy of formation	-300	meV per atom
calculated total energy	-62.5	eV per cell
size of the total moment	0.0	μB/f.u.
crystal system	monoclinic
symmetry	No. 12
density of states at the Fermi level	9.88	states/eV/cell

(2)
This record from Alexandria describes crystalline KLi2Al at its relaxed geometry. The functional is PBE.

```
data_KLi2Al
_symmetry_space_group_name_H-M 'P 1'
_symmetry_Int_Tables_number 1
_cell_length_a 4.666
_cell_length_b 3.045
_cell_length_c 7.871
_cell_angle_alpha 78.97
_cell_angle_beta 90.00
_cell_angle_gamma 90.00
loop_
_symmetry_equiv_pos_as_xyz
'x,y,z'
loop_
_atom_site_label
_atom_site_type_symbol
_atom_site_fract_x
_atom_site_fract_y
_atom_site_fract_z
Al1 Al 0.000 0.491 0.395
K1 K 0.500 0.825 0.724
Li1 Li 0.500 0.039 0.293
Li2 Li 0.000 0.145 0.087
```

Calculated values
energy of formation	158	meV per atom
calculated total energy	-8.0	eV per cell
size of the total moment	0.0	μB/f.u.
crystal system	monoclinic
symmetry	No. 6
density of states at the Fermi level	2.55	states/eV/cell

(3)
This record from Alexandria describes crystalline TmPaBi at its relaxed geometry. The functional is PBE.

```
data_TmPaBi
_symmetry_space_group_name_H-M 'P 1'
_symmetry_Int_Tables_number 1
_cell_length_a 4.308
_cell_length_b 4.308
_cell_length_c 8.909
_cell_angle_alpha 90.00
_cell_angle_beta 90.00
_cell_angle_gamma 90.00
loop_
_symmetry_equiv_pos_as_xyz
'x,y,z'
loop_
_atom_site_label
_atom_site_type_symbol
_atom_site_fract_x
_atom_site_fract_y
_atom_site_fract_z
Pa1 Pa 0.500 0.500 0.000
Pa2 Pa 0.000 0.000 0.000
Tm1 Tm 0.000 0.500 0.354
Tm2 Tm 0.500 0.000 0.646
Bi1 Bi 0.000 0.500 0.710
Bi2 Bi 0.500 0.000 0.290
```

Calculated values
energy of formation	-341	meV per atom
calculated total energy	-37.7	eV per cell
size of the total moment	0.4	μB/f.u.
crystal system	tetragonal
symmetry	No. 129
energy above the most stable polymorph in this dataset	0.000	eV/atom
density of states at the Fermi level	9.30	states/eV/cell

(4)
This record from Alexandria describes crystalline La4SmAs5 at its relaxed geometry. The functional is PBE.

```
data_La4SmAs5
_symmetry_space_group_name_H-M 'P 1'
_symmetry_Int_Tables_number 1
_cell_length_a 6.146
_cell_length_b 7.525
_cell_length_c 7.525
_cell_angle_alpha 80.40
_cell_angle_beta 65.90
_cell_angle_gamma 65.90
loop_
_symmetry_equiv_pos_as_xyz
'x,y,z'
loop_
_atom_site_label
_atom_site_type_symbol
_atom_site_fract_x
_atom_site_fract_y
_atom_site_fract_z
As1 As 0.902 0.395 0.803
As2 As 0.501 0.000 0.000
As3 As 0.705 0.197 0.395
As4 As 0.100 0.605 0.197
As5 As 0.297 0.803 0.605
La1 La 0.202 0.200 0.399
La2 La 0.600 0.601 0.200
La3 La 0.800 0.800 0.601
La4 La 0.402 0.399 0.800
Sm1 Sm 0.001 0.000 0.000
```

Calculated values
energy of formation	-1562	meV per atom
calculated total energy	-63.3	eV per cell
size of the total moment	0.0	μB/f.u.
crystal system	tetragonal
symmetry	No. 87
density of states at the Fermi level	0.97	states/eV/cell

(5)
This record from Alexandria describes crystalline Ta2CrCu at its relaxed geometry. The functional is PBE.

```
data_Ta2CrCu
_symmetry_space_group_name_H-M 'P 1'
_symmetry_Int_Tables_number 1
_cell_length_a 4.690
_cell_length_b 4.690
_cell_length_c 5.051
_cell_angle_alpha 83.48
_cell_angle_beta 83.48
_cell_angle_gamma 34.42
loop_
_symmetry_equiv_pos_as_xyz
'x,y,z'
loop_
_atom_site_label
_atom_site_type_symbol
_atom_site_fract_x
_atom_site_fract_y
_atom_site_fract_z
Cu1 Cu 0.750 0.750 0.750
Ta1 Ta 0.491 0.491 0.502
Ta2 Ta 0.009 0.009 0.998
Cr1 Cr 0.250 0.250 0.250
```

Calculated values
energy of formation	356	meV per atom
calculated total energy	-36.0	eV per cell
size of the total moment	0.0	μB/f.u.
crystal system	monoclinic
symmetry	No. 12
density of states at the Fermi level	3.50	states/eV/cell

(6)
This record from Alexandria describes crystalline TaMnBr4 at its relaxed geometry. The functional is PBE.

```
data_TaMnBr4
_symmetry_space_group_name_H-M 'P 1'
_symmetry_Int_Tables_number 1
_cell_length_a 6.087
_cell_length_b 6.087
_cell_length_c 6.087
_cell_angle_alpha 60.00
_cell_angle_beta 60.00
_cell_angle_gamma 60.00
loop_
_symmetry_equiv_pos_as_xyz
'x,y,z'
loop_
_atom_site_label
_atom_site_type_symbol
_atom_site_fract_x
_atom_site_fract_y
_atom_site_fract_z
Ta1 Ta 0.000 0.000 0.000
Br1 Br 0.375 0.876 0.375
Br2 Br 0.375 0.375 0.375
Br3 Br 0.876 0.375 0.375
Br4 Br 0.375 0.375 0.876
Mn1 Mn 0.750 0.750 0.750
```

Calculated values
calculated total energy	-19.5	eV per cell
size of the total moment	1.6	μB/f.u.
uncorrected formation energy	1.370	eV/atom
crystal system	cubic
symmetry	No. 216
density of states at the Fermi level	9.12	states/eV/cell

(7)
This record from Alexandria describes crystalline Tb2Al8Cu at its relaxed geometry. The functional is PBE.

```
data_Tb2Al8Cu
_symmetry_space_group_name_H-M 'P 1'
_symmetry_Int_Tables_number 1
_cell_length_a 4.297
_cell_length_b 4.297
_cell_length_c 11.119
_cell_angle_alpha 90.00
_cell_angle_beta 90.00
_cell_angle_gamma 90.00
loop_
_symmetry_equiv_pos_as_xyz
'x,y,z'
loop_
_atom_site_label
_atom_site_type_symbol
_atom_site_fract_x
_atom_site_fract_y
_atom_site_fract_z
Tb1 Tb 0.000 0.000 0.689
Tb2 Tb 0.000 0.000 0.311
Al1 Al 0.500 0.500 0.698
Al2 Al 0.500 0.000 0.122
Al3 Al 0.500 0.000 0.500
Al4 Al 0.500 0.000 0.878
Al5 Al 0.000 0.500 0.878
Al6 Al 0.000 0.500 0.122
Al7 Al 0.000 0.500 0.500
Al8 Al 0.500 0.500 0.302
Cu1 Cu 0.000 0.000 0.000
```

Calculated values
energy of formation	-334	meV per atom
calculated total energy	-47.0	eV per cell
size of the total moment	0.0	μB/f.u.
crystal system	tetragonal
symmetry	No. 123
density of states at the Fermi level	4.02	states/eV/cell

(8)
This record from Alexandria describes crystalline Nd2Sm6In at its relaxed geometry. The functional is PBE.

```
data_Nd2Sm6In
_symmetry_space_group_name_H-M 'P 1'
_symmetry_Int_Tables_number 1
_cell_length_a 6.327
_cell_length_b 11.235
_cell_length_c 12.055
_cell_angle_alpha 45.99
_cell_angle_beta 105.22
_cell_angle_gamma 106.35
loop_
_symmetry_equiv_pos_as_xyz
'x,y,z'
loop_
_atom_site_label
_atom_site_type_symbol
_atom_site_fract_x
_atom_site_fract_y
_atom_site_fract_z
In1 In 0.171 0.250 0.750
In2 In 0.829 0.750 0.250
Sm1 Sm 0.504 0.591 0.088
Sm2 Sm 0.274 0.529 0.366
Sm3 Sm 0.253 0.687 0.526
Sm4 Sm 0.378 0.971 0.134
Sm5 Sm 0.496 0.409 0.912
Sm6 Sm 0.176 0.091 0.589
Sm7 Sm 0.960 0.187 0.026
Sm8 Sm 0.824 0.909 0.411
Sm9 Sm 0.622 0.029 0.866
Sm10 Sm 0.726 0.471 0.634
Sm11 Sm 0.040 0.813 0.974
Sm12 Sm 0.747 0.313 0.474
Nd1 Nd 0.060 0.643 0.803
Nd2 Nd 0.940 0.357 0.197
Nd3 Nd 0.386 0.143 0.303
Nd4 Nd 0.614 0.857 0.697
```

Calculated values
energy of formation	-87	meV per atom
calculated total energy	-82.7	eV per cell
size of the total moment	0.0	μB/f.u.
crystal system	monoclinic
symmetry	No. 15
energy above the most stable polymorph in this dataset	0.000	eV/atom
density of states at the Fermi level	25.85	states/eV/cell

(9)
This record from Alexandria describes crystalline Dy4ZrAg5 at its relaxed geometry. The functional is PBE.

```
data_Dy4ZrAg5
_symmetry_space_group_name_H-M 'P 1'
_symmetry_Int_Tables_number 1
_cell_length_a 3.583
_cell_length_b 3.583
_cell_length_c 18.124
_cell_angle_alpha 90.00
_cell_angle_beta 90.00
_cell_angle_gamma 90.00
loop_
_symmetry_equiv_pos_as_xyz
'x,y,z'
loop_
_atom_site_label
_atom_site_type_symbol
_atom_site_fract_x
_atom_site_fract_y
_atom_site_fract_z
Dy1 Dy 0.000 0.000 0.397
Dy2 Dy 0.000 0.000 0.807
Dy3 Dy 0.000 0.000 0.603
Dy4 Dy 0.000 0.000 0.193
Ag1 Ag 0.500 0.500 0.500
Ag2 Ag 0.500 0.500 0.090
Ag3 Ag 0.500 0.500 0.295
Ag4 Ag 0.500 0.500 0.705
Ag5 Ag 0.500 0.500 0.910
Zr1 Zr 0.000 0.000 0.000
```

Calculated values
energy of formation	-241	meV per atom
calculated total energy	-43.6	eV per cell
size of the total moment	1.0	μB/f.u.
crystal system	tetragonal
symmetry	No. 123
density of states at the Fermi level	4.85	states/eV/cell